Record 1
An optimized crystal structure of Bi2AsRhSe, computed with PBE.

Cell: 5.6043 5.6043 4.5228 Å, 90.00 90.00 90.00°
With the nearest neighbours (Å) after each atom.
Fractional positions:
Bi1 0.0000 0.5000 0.0000  2 As 2.80
Bi2 0.5000 0.0000 0.0000  2 As 2.80
As1 0.0000 0.0000 0.0000  2 Rh 2.26
Rh1 0.0000 0.0000 0.5000  2 As 2.26
Se1 0.5000 0.5000 0.5000  8 Bi 3.60, 4 Rh 3.96

Properties
- Uncorrected formation energy: 0.49 eV/atom


Record 2
An optimized crystal structure of BiAsRhSe2, computed with PBE.

Cell: 5.1037 5.1037 4.5900 Å, 90.00 90.00 90.00°
With the nearest neighbours (Å) after each atom.
Fractional positions:
Bi1 0.0000 0.0000 0.0000  8 Se 3.43, 4 As 3.61
As1 0.5000 0.5000 0.0000  2 Rh 2.29
Rh1 0.5000 0.5000 0.5000  2 As 2.29, 4 Se 2.55
Se1 0.0000 0.5000 0.5000  2 Rh 2.55
Se2 0.5000 0.0000 0.5000  2 Rh 2.55

Properties
- Uncorrected formation energy: 0.19 eV/atom
- Relative energy among the computed polymorphs: 0.0 meV per atom


Record 3
An optimized crystal structure of BiAsRhSe2, computed with PBE.

Cell: 5.4435 5.4435 5.4111 Å, 90.00 90.00 90.00°
With the nearest neighbours (Å) after each atom.
Fractional positions:
Bi1 0.0000 0.0000 0.0000  2 As 2.71, 4 Se 2.72
As1 0.0000 0.0000 0.5000  2 Bi 2.71
Rh1 0.5000 0.5000 0.5000  8 Se 3.84, 4 As 3.85
Se1 0.0000 0.5000 0.0000  2 Bi 2.72
Se2 0.5000 0.0000 0.0000  2 Bi 2.72

Properties
- Uncorrected formation energy: 1.30 eV/atom
- Relative energy among the computed polymorphs: 1101.8 meV per atom


Record 4
An optimized crystal structure of Sm3BiAs2Rh9, computed with PBE.

Cell: 6.2513 6.2513 9.5950 Å, 90.00 90.00 120.00°
With the nearest neighbours (Å) after each atom.
Fractional positions:
Sm1 0.0000 0.0000 0.0000  12 Rh 3.01-3.13
Sm2 0.3333 0.6667 0.7437  9 Rh 3.05-3.14
Sm3 0.6667 0.3333 0.2563  9 Rh 3.05-3.14
Bi1 0.0000 0.0000 0.5000  6 Rh 2.71
As1 0.3333 0.6667 0.1651  6 Rh 2.28-2.40
As2 0.6667 0.3333 0.8349  6 Rh 2.28-2.40
Rh1 0.0000 0.5000 0.0000  2 As 2.40
Rh2 0.1434 0.2868 0.2687  1 As 2.28
Rh3 0.1434 0.8566 0.2687  1 As 2.28
Rh4 0.2868 0.1434 0.7313  1 As 2.28
Rh5 0.5000 0.0000 0.0000  2 As 2.40
Rh6 0.5000 0.5000 0.0000  2 As 2.40
Rh7 0.7132 0.8566 0.2687  1 As 2.28
Rh8 0.8566 0.1434 0.7313  1 As 2.28
Rh9 0.8566 0.7132 0.7313  1 As 2.28

Properties
- E: -6.6314 eV per atom


Record 5
An optimized crystal structure of SmBiAs2Rh5, computed with PBE.

Cell: 4.0887 4.0887 10.9498 Å, 90.00 90.00 90.00°
With the nearest neighbours (Å) after each atom.
Fractional positions:
Sm1 0.0000 0.0000 0.0000  4 Rh 2.89
Bi1 0.0000 0.0000 0.5000  8 Rh 2.75
As1 0.5000 0.5000 0.2166  5 Rh 2.37-2.40
As2 0.5000 0.5000 0.7834  5 Rh 2.37-2.40
Rh1 0.0000 0.5000 0.3315  2 As 2.40
Rh2 0.0000 0.5000 0.6685  2 As 2.40
Rh3 0.5000 0.0000 0.3315  2 As 2.40
Rh4 0.5000 0.0000 0.6685  2 As 2.40
Rh5 0.5000 0.5000 0.0000  2 As 2.37

Properties
- E: -6.4912 eV per atom


Record 6
An optimized crystal structure of Sn2BiAsRh, computed with PBE.

Cell: 5.8025 5.8025 5.3188 Å, 90.00 90.00 90.00°
With the nearest neighbours (Å) after each atom.
Fractional positions:
Sn1 0.0000 0.5000 0.0000  2 Bi 2.90
Sn2 0.5000 0.0000 0.0000  2 Bi 2.90
Bi1 0.0000 0.0000 0.0000  2 As 2.66, 4 Sn 2.90
As1 0.0000 0.0000 0.5000  2 Bi 2.66
Rh1 0.5000 0.5000 0.5000  8 Sn 3.94, 4 As 4.10

Properties
- E: -3.3641 eV per atom


Record 7
An optimized crystal structure of Tm3BiAs2Rh9, computed with PBE.

Cell: 6.2264 6.2264 9.5079 Å, 90.00 90.00 120.00°
With the nearest neighbours (Å) after each atom.
Fractional positions:
Tm1 0.0000 0.0000 0.0000  12 Rh 2.94-3.11
Tm2 0.3333 0.6667 0.7592  9 Rh 2.91-3.13
Tm3 0.6667 0.3333 0.2408  9 Rh 2.91-3.13
Bi1 0.0000 0.0000 0.5000  6 Rh 2.71
As1 0.3333 0.6667 0.1664  6 Rh 2.26-2.39
As2 0.6667 0.3333 0.8336  6 Rh 2.26-2.39
Rh1 0.0000 0.5000 0.0000  2 As 2.39
Rh2 0.1421 0.2841 0.2645  1 As 2.26
Rh3 0.1421 0.8579 0.2645  1 As 2.26
Rh4 0.2841 0.1421 0.7355  1 As 2.26
Rh5 0.5000 0.0000 0.0000  2 As 2.39
Rh6 0.5000 0.5000 0.0000  2 As 2.39
Rh7 0.7159 0.8579 0.2645  1 As 2.26
Rh8 0.8579 0.1421 0.7355  1 As 2.26
Rh9 0.8579 0.7159 0.7355  1 As 2.26

Properties
- E: -6.5857 eV per atom


Record 8
An optimized crystal structure of BiAsRu3, computed with PBE.

Cell: 4.9841 4.9841 4.9841 Å, 90.00 90.00 90.00°
With the nearest neighbours (Å) after each atom.
Fractional positions:
Bi1 0.0000 0.0000 0.0000  6 Ru 2.49
As1 0.5000 0.5000 0.5000  12 Ru 3.52
Ru1 0.0000 0.0000 0.5000  2 Bi 2.49
Ru2 0.0000 0.5000 0.0000  2 Bi 2.49
Ru3 0.5000 0.0000 0.0000  2 Bi 2.49

Properties
- E: -5.2071 eV per atom